#w
Ac4Cd2Ir, optimized geometry, DFT GGA-PBE; density = 8.86 g/cm³; total magnetic moment = 0.00 μB per cell; space-group type = C2/m, No. 12; V = 248.3 Å³/f.u.
1.0
-4.126 2.491 0.636
-5.141 -4.125 1.388
-1.145 0.678 8.502
Ac Ir Cd
4 1 2
Direct
0.076 0.195 0.652 Ac
0.924 0.805 0.348 Ac
0.333 0.269 0.066 Ac
0.667 0.731 0.934 Ac
0.000 0.000 0.000 Ir
0.368 0.604 0.660 Cd
0.632 0.396 0.340 Cd



#x
Ac4Cd2Ir, optimized geometry, DFT GGA-PBE; density = 7.95 g/cm³; total magnetic moment = 0.00 μB per cell; space-group type = I4/mmm, No. 139; V = 276.7 Å³/f.u.
1.0
5.789 0.000 0.000
0.000 5.789 0.000
-2.894 -2.894 8.257
Ac Ir Cd
4 1 2
Direct
0.820 0.820 0.639 Ac
0.180 0.180 0.361 Ac
0.000 0.500 0.000 Ac
0.500 0.000 0.000 Ac
0.000 0.000 0.000 Ir
0.620 0.620 0.239 Cd
0.380 0.380 0.761 Cd



Most stable of them? #w.



#w
Ac8CdIr4, optimized geometry, DFT GGA-PBE; density = 9.12 g/cm³; total magnetic moment = 0.00 μB per cell; space-group type = Cm, No. 8; V = 490.9 Å³/f.u.
1.0
-2.024 -3.923 -0.115
6.396 -5.981 6.652
-5.973 0.338 8.779
Ac Cd Ir
8 1 4
Direct
0.140 0.394 0.325 Ac
0.553 0.231 0.664 Ac
0.470 0.728 0.332 Ac
0.883 0.564 0.670 Ac
0.846 0.317 0.991 Ac
0.221 0.904 0.654 Ac
0.177 0.641 0.005 Ac
0.803 0.054 0.341 Ac
0.508 0.982 0.003 Cd
0.367 0.439 0.828 Ir
0.849 0.805 0.497 Ir
0.174 0.154 0.499 Ir
0.656 0.519 0.168 Ir



#x
Ac8CdIr4, optimized geometry, DFT GGA-PBE; density = 8.59 g/cm³; total magnetic moment = 0.00 μB per cell; space-group type = F-43m, No. 216; V = 521.1 Å³/f.u.
1.0
9.033 0.000 0.000
4.516 7.823 0.000
4.516 2.608 7.375
Ac Cd Ir
8 1 4
Direct
0.584 0.139 0.139 Ac
0.139 0.584 0.139 Ac
0.139 0.139 0.584 Ac
0.139 0.139 0.139 Ac
0.179 0.607 0.607 Ac
0.607 0.179 0.607 Ac
0.607 0.607 0.179 Ac
0.607 0.607 0.607 Ac
0.750 0.750 0.750 Cd
0.880 0.373 0.373 Ir
0.373 0.880 0.373 Ir
0.373 0.373 0.880 Ir
0.373 0.373 0.373 Ir



Most stable of them? #w.



#w
Ac6CdIr2, optimized geometry, DFT GGA-PBE; density = 8.60 g/cm³; total magnetic moment = 0.00 μB per cell; space-group type = C2/m, No. 12; V = 358.8 Å³/f.u.
1.0
-2.805 0.721 3.271
-3.592 -2.943 -5.348
5.008 -9.724 6.439
Ac Cd Ir
6 1 2
Direct
0.029 0.059 0.776 Ac
0.666 0.331 0.076 Ac
0.334 0.669 0.924 Ac
0.703 0.405 0.619 Ac
0.297 0.595 0.381 Ac
0.971 0.941 0.224 Ac
0.000 0.000 0.500 Cd
0.680 0.359 0.841 Ir
0.320 0.641 0.159 Ir



#x
Ac6CdIr2, optimized geometry, DFT GGA-PBE; density = 9.27 g/cm³; total magnetic moment = 0.00 μB per cell; space-group type = C2/m, No. 12; V = 333.0 Å³/f.u.
1.0
-2.529 -4.901 -2.196
4.342 2.392 -2.316
7.905 -6.893 6.281
Ac Cd Ir
6 1 2
Direct
0.991 0.982 0.788 Ac
0.669 0.339 0.083 Ac
0.331 0.661 0.917 Ac
0.652 0.304 0.610 Ac
0.348 0.696 0.390 Ac
0.009 0.018 0.212 Ac
0.000 0.000 0.500 Cd
0.661 0.323 0.845 Ir
0.339 0.677 0.155 Ir



Most stable of them? #w.



#w
Ac4CdIr, optimized geometry, DFT GGA-PBE; density = 8.87 g/cm³; total magnetic moment = 0.00 μB per cell; space-group type = P4/mmm, No. 123; V = 227.0 Å³/f.u.
1.0
-2.662 -0.702 4.598
3.916 -3.197 1.778
3.703 6.259 3.100
Ac Cd Ir
4 1 1
Direct
0.500 0.000 0.726 Ac
0.000 0.500 0.726 Ac
0.500 0.000 0.274 Ac
0.000 0.500 0.274 Ac
0.000 0.000 0.000 Cd
0.500 0.500 0.500 Ir



#x
Ac4CdIr, optimized geometry, DFT GGA-PBE; density = 9.69 g/cm³; total magnetic moment = 0.00 μB per cell; space-group type = F-43m, No. 216; V = 207.8 Å³/f.u.
1.0
9.140 0.000 5.277
3.047 8.618 5.277
0.000 0.000 10.554
Ac Cd Ir
16 4 4
Direct
0.403 0.403 0.403 Ac
0.790 0.403 0.403 Ac
0.403 0.790 0.403 Ac
0.403 0.403 0.790 Ac
0.560 0.560 0.940 Ac
0.940 0.940 0.560 Ac
0.560 0.940 0.560 Ac
0.940 0.560 0.940 Ac
0.940 0.560 0.560 Ac
0.560 0.940 0.940 Ac
0.189 0.189 0.811 Ac
0.811 0.811 0.189 Ac
0.189 0.811 0.189 Ac
0.811 0.189 0.811 Ac
0.811 0.189 0.189 Ac
0.189 0.811 0.811 Ac
0.171 0.171 0.171 Cd
0.487 0.171 0.171 Cd
0.171 0.487 0.171 Cd
0.171 0.171 0.487 Cd
0.608 0.608 0.608 Ir
0.175 0.608 0.608 Ir
0.608 0.175 0.608 Ir
0.608 0.608 0.175 Ir



Most stable of them? #x.



#w
Ac8CdIr2, optimized geometry, DFT GGA-PBE; density = 9.39 g/cm³; total magnetic moment = 0.00 μB per cell; space-group type = Cm, No. 8; V = 409.0 Å³/f.u.
1.0
-0.559 -5.334 3.086
6.149 -2.571 -5.559
2.785 4.842 6.643
Ac Cd Ir
8 1 2
Direct
0.575 0.342 0.083 Ac
0.575 0.083 0.342 Ac
0.200 0.393 0.393 Ac
0.000 0.248 0.758 Ac
0.000 0.758 0.248 Ac
0.800 0.613 0.613 Ac
0.425 0.923 0.664 Ac
0.425 0.664 0.923 Ac
0.999 0.003 0.003 Cd
0.500 0.712 0.294 Ir
0.500 0.294 0.712 Ir



#x
Ac8CdIr2, optimized geometry, DFT GGA-PBE; density = 8.86 g/cm³; total magnetic moment = 0.00 μB per cell; space-group type = C2/m, No. 12; V = 433.5 Å³/f.u.
1.0
7.075 -0.182 -0.151
-0.040 8.105 0.867
-0.040 2.335 7.810
Ac Cd Ir
8 1 2
Direct
0.823 0.136 0.575 Ac
0.177 0.425 0.864 Ac
0.607 0.131 0.131 Ac
0.393 0.869 0.869 Ac
0.823 0.575 0.136 Ac
0.177 0.864 0.425 Ac
0.311 0.382 0.382 Ac
0.689 0.618 0.618 Ac
0.000 0.000 0.000 Cd
0.007 0.220 0.220 Ir
0.993 0.780 0.780 Ir



Most stable of them? #x.



#w
AcLa8Cd2, optimized geometry, DFT GGA-PBE; density = 6.50 g/cm³; total magnetic moment = 0.00 μB per cell; space-group type = C2/m, No. 12; V = 399.1 Å³/f.u.
1.0
5.891 1.056 0.000
1.732 9.060 0.000
0.866 4.530 7.741
Ac La Cd
1 8 2
Direct
0.500 0.000 0.000 Ac
0.898 0.084 0.223 La
0.898 0.307 0.777 La
0.303 0.407 0.000 La
0.500 0.769 0.462 La
0.500 0.231 0.538 La
0.697 0.593 0.000 La
0.102 0.693 0.223 La
0.102 0.916 0.777 La
0.000 0.308 0.383 Cd
0.000 0.692 0.617 Cd



#x
AcLa8Cd2, optimized geometry, DFT GGA-PBE; density = 6.71 g/cm³; total magnetic moment = 0.00 μB per cell; space-group type = C2/m, No. 12; V = 386.7 Å³/f.u.
1.0
5.261 0.000 -1.699
-1.217 7.723 -3.769
0.068 0.537 9.206
Ac Cd La
1 2 8
Direct
0.500 0.000 0.000 Ac
0.219 0.632 0.438 Cd
0.781 0.368 0.562 Cd
0.603 0.471 0.207 La
0.308 0.042 0.616 La
0.151 0.208 0.303 La
0.049 0.739 0.097 La
0.849 0.792 0.697 La
0.692 0.958 0.384 La
0.397 0.529 0.793 La
0.951 0.261 0.903 La



Most stable of them? #x.



#w
AcLa2Cd, optimized geometry, DFT GGA-PBE; density = 6.67 g/cm³; total magnetic moment = 0.00 μB per cell; space-group type = R-3m, No. 166; V = 153.6 Å³/f.u.
1.0
-3.059 1.759 1.155
-3.261 -0.674 -1.642
-4.381 -9.109 8.240
Ac Cd La
1 1 2
Direct
0.500 0.500 0.500 Ac
0.000 0.000 0.000 Cd
0.088 0.088 0.737 La
0.912 0.912 0.263 La



#x
AcLa2Cd, optimized geometry, DFT GGA-PBE; density = 7.42 g/cm³; total magnetic moment = 0.00 μB per cell; space-group type = P4/mmm, No. 123; V = 138.2 Å³/f.u.
1.0
-2.927 3.186 -2.957
-2.599 -4.050 -1.791
-3.374 0.466 3.843
Ac Cd La
1 1 2
Direct
0.500 0.500 0.500 Ac
0.500 0.000 0.000 Cd
0.000 0.000 0.500 La
0.000 0.500 0.000 La



#y
AcLa2Cd, optimized geometry, DFT GGA-PBE; density = 7.27 g/cm³; total magnetic moment = 0.00 μB per cell; space-group type = P4/mmm, No. 123; V = 141.1 Å³/f.u.
1.0
-2.632 -2.871 0.285
1.814 -1.947 -2.859
5.314 -4.248 6.265
Ac Cd La
1 1 2
Direct
0.500 0.500 0.500 Ac
0.500 0.500 0.000 Cd
0.000 0.000 0.784 La
0.000 0.000 0.216 La



#z
AcLa2Cd, optimized geometry, DFT GGA-PBE; density = 6.96 g/cm³; total magnetic moment = 0.00 μB per cell; space-group type = R3m, No. 160; V = 147.2 Å³/f.u.
1.0
3.848 0.000 0.000
1.924 3.332 0.000
1.924 1.111 11.476
Ac La Cd
1 2 1
Direct
0.500 0.500 0.501 Ac
0.074 0.074 0.778 La
0.260 0.260 0.221 La
0.667 0.667 0.000 Cd



Most stable of them? #y.



#w
Ac2LaCd2, optimized geometry, DFT GGA-PBE; density = 7.42 g/cm³; total magnetic moment = 0.00 μB per cell; space-group type = P2_1/m, No. 11; V = 183.1 Å³/f.u.
1.0
-1.298 -3.091 2.026
-3.069 -2.372 -5.585
14.079 -4.877 1.580
Ac La Cd
4 2 4
Direct
0.250 0.778 0.849 Ac
0.750 0.222 0.151 Ac
0.250 0.312 0.572 Ac
0.750 0.688 0.428 Ac
0.250 0.765 0.211 La
0.750 0.235 0.789 La
0.250 0.860 0.633 Cd
0.750 0.140 0.367 Cd
0.250 0.324 0.987 Cd
0.750 0.676 0.013 Cd



#x
Ac2LaCd2, optimized geometry, DFT GGA-PBE; density = 7.59 g/cm³; total magnetic moment = 0.35 μB per cell; space-group type = Cmmm, No. 65; V = 178.9 Å³/f.u.
1.0
-3.438 -0.479 -1.955
2.044 -0.691 -3.424
1.221 -11.202 0.596
Ac La Cd
2 1 2
Direct
0.000 0.175 0.650 Ac
0.000 0.825 0.350 Ac
0.000 0.000 0.000 La
0.500 0.417 0.166 Cd
0.500 0.583 0.834 Cd



Most stable of them? #x.